Dy5Y2Er5: optimized geometry, PBE.

a b c (Å): 4.9890 7.8967 10.6045
angles (deg): 72.68 76.39 71.59
Element x y z (fractional)
Er1 0.8324 0.8348 0.5004
Er2 0.2494 0.7512 0.7499
Er3 0.0000 0.0000 0.0000
Er4 0.7506 0.2488 0.2501
Er5 0.1676 0.1652 0.4996
Dy1 0.5842 0.0818 0.7498
Dy2 0.5000 0.5000 0.5000
Dy3 0.3338 0.3323 0.0001
Dy4 0.4158 0.9182 0.2502
Dy5 0.6662 0.6677 0.9999
Y1 0.0833 0.5828 0.2506
Y2 0.9167 0.4172 0.7494

* N(E_F): 17.06 states/eV/f.u.
* space-group type: No. 12
* energy of formation: 0.022 eV/atom
* crystal system: monoclinic
* size of the total moment: 0.000 μB per atom

DyY4Er3: optimized geometry, PBE.

a b c (Å): 6.2705 7.2569 11.2133
angles (deg): 90.00 90.00 90.00
Element x y z (fractional)
Y1 0.1454 0.8733 0.0000
Y2 0.4827 0.8732 0.7506
Y3 0.1465 0.8729 0.5000
Y4 0.6465 0.1271 0.0000
Y5 0.9827 0.1268 0.7494
Y6 0.4827 0.8732 0.2494
Y7 0.6454 0.1267 0.5000
Y8 0.9827 0.1268 0.2506
Er1 0.6491 0.6229 0.0000
Er2 0.4797 0.3768 0.2501
Er3 0.4797 0.3768 0.7499
Er4 0.1491 0.3771 0.5000
Er5 0.9797 0.6232 0.7501
Er6 0.9797 0.6232 0.2499
Dy1 0.1496 0.3769 0.0000
Dy2 0.6496 0.6231 0.5000

* N(E_F): 14.09 states/eV/f.u.
* space-group type: No. 31
* energy of formation: 0.001 eV/atom
* crystal system: orthorhombic
* size of the total moment: 0.000 μB per atom
* ΔE to the lowest computed polymorph: 0.0000 eV per atom

Dy7YEr4: optimized geometry, PBE.

a b c (Å): 5.8387 11.4869 6.6623
angles (deg): 83.50 64.01 75.28
Element x y z (fractional)
Dy1 0.3659 0.5024 0.7657
Dy2 0.0589 0.6753 0.2070
Dy3 0.9411 0.3247 0.7930
Dy4 0.2129 0.0769 0.4974
Dy5 0.5000 0.0000 0.0000
Dy6 0.6341 0.4976 0.2343
Dy7 0.7871 0.9231 0.5026
Y1 0.0000 0.0000 0.0000
Er1 0.7500 0.6844 0.8155
Er2 0.3648 0.7749 0.4956
Er3 0.6352 0.2251 0.5044
Er4 0.2500 0.3156 0.1845

* N(E_F): 20.16 states/eV/f.u.
* space-group type: No. 12
* energy of formation: 0.293 eV/atom
* crystal system: monoclinic
* size of the total moment: 0.010 μB per atom
* ΔE to the lowest computed polymorph: 0.2042 eV per atom

What is the energy of formation in the third record?
0.293 eV/atom